[1]
BaMg3Tl: PBEsol geometry, SCAN.

Cell and atoms, written as POSCAR:
```
BaMg3Tl
1.0
6.310 0.000 0.000
0.000 6.310 0.000
0.000 0.000 6.310
Ba Mg Tl
1 3 1
Direct
0.000 0.000 0.000 Ba
0.000 0.000 0.500 Mg
0.000 0.500 0.000 Mg
0.500 0.000 0.000 Mg
0.500 0.500 0.500 Tl
```

Computed properties:
Calculated total energy = -121.5 eV per cell
Formation energy = 24.7 kcal/mol of atoms
Density of states at the Fermi level = 6.18 states/eV/cell

---

[2]
AgAu: PBEsol geometry, SCAN.

Cell and atoms, written as POSCAR:
```
AgAu
1.0
2.881 0.000 0.000
-1.440 2.495 0.000
0.000 0.000 13.947
Ag Au
3 3
Direct
0.000 0.000 0.000 Ag
0.333 0.667 0.667 Ag
0.667 0.333 0.333 Ag
0.000 0.000 0.500 Au
0.333 0.667 0.167 Au
0.667 0.333 0.833 Au
```

Computed properties:
Calculated total energy = -302.0 eV per cell
Formation energy = -1.5 kcal/mol of atoms
Density of states at the Fermi level = 1.16 states/eV/cell

---

[3]
Sr8Ni3N8: PBEsol geometry, SCAN.

Cell and atoms, written as POSCAR:
```
Sr8Ni3N8
1.0
9.110 -2.633 0.000
9.110 2.633 0.000
-1.959 0.000 7.110
Sr Ni N
8 3 8
Direct
0.030 0.030 0.261 Sr
0.200 0.200 0.814 Sr
0.330 0.330 0.520 Sr
0.403 0.403 0.036 Sr
0.597 0.597 0.964 Sr
0.670 0.670 0.480 Sr
0.800 0.800 0.186 Sr
0.970 0.970 0.739 Sr
0.186 0.186 0.205 Ni
0.500 0.500 0.500 Ni
0.814 0.814 0.795 Ni
0.102 0.102 0.004 N
0.177 0.177 0.439 N
0.279 0.279 0.163 N
0.474 0.474 0.712 N
0.526 0.526 0.288 N
0.721 0.721 0.837 N
0.823 0.823 0.561 N
0.898 0.898 0.996 N
```

Computed properties:
Calculated total energy = -313.4 eV per cell
Uncorrected formation energy = -0.65 eV per atom
Density of states at the Fermi level = 7.24 states/eV/cell

---

[4]
TaFe2Ni: PBEsol geometry, SCAN.

Cell and atoms, written as POSCAR:
```
TaFe2Ni
1.0
2.615 0.000 0.000
0.000 2.615 0.000
0.000 0.000 7.393
Ta Fe Ni
1 2 1
Direct
0.000 0.000 0.000 Ta
0.500 0.500 0.280 Fe
0.500 0.500 0.720 Fe
0.000 0.000 0.500 Ni
```

Computed properties:
Calculated total energy = -118.9 eV per cell
Formation energy = 0.8 kcal/mol of atoms
Density of states at the Fermi level = 3.12 states/eV/cell

---

[5]
HfGaRh2: PBEsol geometry, SCAN.

Cell and atoms, written as POSCAR:
```
HfGaRh2
1.0
6.212 0.000 0.000
0.000 6.212 0.000
0.000 0.000 6.212
Hf Ga Rh
4 4 8
Direct
0.000 0.000 0.000 Hf
0.000 0.500 0.500 Hf
0.500 0.000 0.500 Hf
0.500 0.500 0.000 Hf
0.000 0.000 0.500 Ga
0.000 0.500 0.000 Ga
0.500 0.000 0.000 Ga
0.500 0.500 0.500 Ga
0.250 0.250 0.250 Rh
0.250 0.250 0.750 Rh
0.250 0.750 0.250 Rh
0.250 0.750 0.750 Rh
0.750 0.250 0.250 Rh
0.750 0.250 0.750 Rh
0.750 0.750 0.250 Rh
0.750 0.750 0.750 Rh
```

Computed properties:
Calculated total energy = -602.2 eV per cell
Formation energy = -23.0 kcal/mol of atoms
Density of states at the Fermi level = 12.23 states/eV/cell

---

[6]
TlCuPt2: PBEsol geometry, SCAN.

Cell and atoms, written as POSCAR:
```
TlCuPt2
1.0
5.687 0.000 0.000
0.000 7.565 0.000
0.000 0.000 2.947
Tl Cu Pt
2 2 4
Direct
0.000 0.000 0.000 Tl
0.500 0.500 0.000 Tl
0.000 0.500 0.000 Cu
0.500 0.000 0.000 Cu
0.250 0.250 0.500 Pt
0.250 0.750 0.500 Pt
0.750 0.250 0.500 Pt
0.750 0.750 0.500 Pt
```

Computed properties:
Calculated total energy = -455.4 eV per cell
Formation energy = 1.4 kcal/mol of atoms
Density of states at the Fermi level = 2.21 states/eV/cell

---

[7]
Na2ZnCdO: PBEsol geometry, SCAN.

Cell and atoms, written as POSCAR:
```
Na2ZnCdO
1.0
5.530 0.000 0.000
0.000 5.530 0.000
0.000 0.000 4.849
Na Zn Cd O
2 1 1 1
Direct
0.000 0.500 0.000 Na
0.500 0.000 0.000 Na
0.000 0.000 0.500 Zn
0.000 0.000 0.000 Cd
0.500 0.500 0.500 O
```

Computed properties:
Calculated total energy = -56.3 eV per cell
Uncorrected formation energy = 0.45 eV per atom
Density of states at the Fermi level = 2.62 states/eV/cell

---

[8]
Rb2NaAsBr6: PBEsol geometry, SCAN.

Cell and atoms, written as POSCAR:
```
Rb2NaAsBr6
1.0
0.000 5.459 5.459
5.459 0.000 5.459
5.459 5.459 0.000
Rb Na As Br
2 1 1 6
Direct
0.250 0.250 0.250 Rb
0.750 0.750 0.750 Rb
0.000 0.000 0.000 Na
0.500 0.500 0.500 As
0.260 0.260 0.740 Br
0.260 0.740 0.260 Br
0.260 0.740 0.740 Br
0.740 0.260 0.260 Br
0.740 0.260 0.740 Br
0.740 0.740 0.260 Br
```

Computed properties:
Calculated total energy = -195.9 eV per cell
Uncorrected formation energy = -1.33 eV per atom
Density of states at the Fermi level = 0.00 states/eV/cell

---

[9]
CaY2Cd2: PBEsol geometry, SCAN.

Cell and atoms, written as POSCAR:
```
CaY2Cd2
1.0
8.579 0.000 0.000
0.000 8.579 0.000
0.000 0.000 3.766
Ca Y Cd
2 4 4
Direct
0.000 0.000 0.000 Ca
0.500 0.500 0.000 Ca
0.166 0.334 0.500 Y
0.334 0.834 0.500 Y
0.666 0.166 0.500 Y
0.834 0.666 0.500 Y
0.129 0.629 0.000 Cd
0.371 0.129 0.000 Cd
0.629 0.871 0.000 Cd
0.871 0.371 0.000 Cd
```

Computed properties:
Calculated total energy = -255.8 eV per cell
Formation energy = -7.9 kcal/mol of atoms
Density of states at the Fermi level = 9.81 states/eV/cell

---

[10]
BaYW2: PBEsol geometry, SCAN.

Cell and atoms, written as POSCAR:
```
BaYW2
1.0
3.308 0.000 0.000
0.000 3.311 0.000
-0.198 0.000 9.194
Ba Y W
1 1 2
Direct
0.000 0.000 0.000 Ba
0.535 0.500 0.621 Y
0.024 0.000 0.410 W
0.515 0.500 0.277 W
```

Computed properties:
Calculated total energy = -204.4 eV per cell
Formation energy = 13.8 kcal/mol of atoms
Density of states at the Fermi level = 4.81 states/eV/cell

---

[11]
OsRuRh2: PBEsol geometry, SCAN.

Cell and atoms, written as POSCAR:
```
OsRuRh2
1.0
3.758 0.000 0.000
0.000 3.758 0.000
0.000 0.000 7.657
Os Ru Rh
2 2 4
Direct
0.000 0.000 0.000 Os
0.500 0.500 0.500 Os
0.000 0.000 0.500 Ru
0.500 0.500 0.000 Ru
0.000 0.500 0.250 Rh
0.000 0.500 0.750 Rh
0.500 0.000 0.250 Rh
0.500 0.000 0.750 Rh
```

Computed properties:
Calculated total energy = -347.8 eV per cell
Formation energy = 2.1 kcal/mol of atoms
Density of states at the Fermi level = 6.82 states/eV/cell

---

[12]
K2BeSb: PBEsol geometry, SCAN.

Cell and atoms, written as POSCAR:
```
K2BeSb
1.0
3.357 0.000 0.000
0.000 3.357 0.000
0.000 0.000 10.311
K Be Sb
2 1 1
Direct
0.000 0.000 0.243 K
0.000 0.000 0.757 K
0.500 0.500 0.000 Be
0.500 0.500 0.500 Sb
```

Computed properties:
Calculated total energy = -56.7 eV per cell
Uncorrected formation energy = 0.40 eV per atom
Density of states at the Fermi level = 2.01 states/eV/cell